[1]
{
  "formula": "Ta2BrN",
  "functional": "PBE",
  "state": "relaxed",
  "de_polymorph_mev_per_atom": 0.0,
  "n_ef_per_ev_fu": 3.70,
  "e_form_raw_mev_per_atom": 205,
  "e_tot_ev_per_atom": -8.2211,
  "lattice": [[5.2841, 0.0000, 0.0000], [0.0000, 5.2841, 0.0000], [0.0000, 0.0000, 11.0346]],
  "species": ["Ta", "Ta", "Ta", "Ta", "Ta", "Ta", "Ta", "Ta", "Br", "Br", "Br", "Br", "N", "N", "N", "N"],
  "frac_coords": [[0.1290, 0.2500, 0.1250], [0.2500, 0.6290, 0.3750], [0.2500, 0.8710, 0.8750], [0.3710, 0.2500, 0.6250], [0.6290, 0.7500, 0.6250], [0.7500, 0.1290, 0.8750], [0.7500, 0.3710, 0.3750], [0.8710, 0.7500, 0.1250], [0.0000, 0.0000, 0.5000], [0.0000, 0.5000, 0.7500], [0.5000, 0.0000, 0.2500], [0.5000, 0.5000, 0.0000], [0.0000, 0.0000, 0.0000], [0.0000, 0.5000, 0.2500], [0.5000, 0.0000, 0.7500], [0.5000, 0.5000, 0.5000]]
}

[2]
{
  "formula": "TaBrN2",
  "functional": "PBE",
  "state": "relaxed",
  "de_polymorph_mev_per_atom": 0.0,
  "n_ef_per_ev_fu": 1.07,
  "e_form_raw_mev_per_atom": -146,
  "e_tot_ev_per_atom": -7.6903,
  "lattice": [[3.2270, 0.0000, 0.0000], [-1.6135, 2.7947, 0.0000], [0.0000, 0.0000, 19.1826]],
  "species": ["Ta", "Ta", "Ta", "Br", "Br", "Br", "N", "N", "N", "N", "N", "N"],
  "frac_coords": [[0.0000, 0.0000, 0.0000], [0.3333, 0.6667, 0.6667], [0.6667, 0.3333, 0.3333], [0.0000, 0.0000, 0.5000], [0.3333, 0.6667, 0.1667], [0.6667, 0.3333, 0.8333], [0.0000, 0.0000, 0.3876], [0.0000, 0.0000, 0.6124], [0.3333, 0.6667, 0.0543], [0.3333, 0.6667, 0.2790], [0.6667, 0.3333, 0.7210], [0.6667, 0.3333, 0.9457]]
}

[3]
{
  "formula": "Ta2Br2N",
  "functional": "PBE",
  "state": "relaxed",
  "n_ef_per_ev_fu": 3.08,
  "e_form_raw_mev_per_atom": 1574,
  "e_tot_ev_per_atom": -5.5010,
  "lattice": [[4.1975, 0.0000, 0.0000], [0.0000, 4.1975, 0.0000], [0.0000, 0.0000, 11.6854]],
  "species": ["Ta", "Ta", "Ta", "Ta", "Br", "Br", "Br", "Br", "N", "N"],
  "frac_coords": [[0.0000, 0.0000, 0.1051], [0.0000, 0.0000, 0.8949], [0.5000, 0.5000, 0.3949], [0.5000, 0.5000, 0.6051], [0.0000, 0.5000, 0.2500], [0.0000, 0.5000, 0.7500], [0.5000, 0.0000, 0.2500], [0.5000, 0.0000, 0.7500], [0.0000, 0.0000, 0.5000], [0.5000, 0.5000, 0.0000]]
}

[4]
{
  "formula": "TaBr2N",
  "functional": "PBE",
  "state": "relaxed",
  "de_polymorph_mev_per_atom": 0.0,
  "n_ef_per_ev_fu": 0.22,
  "e_form_raw_mev_per_atom": -298,
  "e_tot_ev_per_atom": -6.1793,
  "lattice": [[9.9475, 0.0000, 0.0000], [0.0000, 9.9475, 0.0000], [0.0000, 0.0000, 3.9104]],
  "species": ["Ta", "Ta", "Ta", "Ta", "Br", "Br", "Br", "Br", "Br", "Br", "Br", "Br", "N", "N", "N", "N"],
  "frac_coords": [[0.0000, 0.0000, 0.0000], [0.0000, 0.5000, 0.2500], [0.5000, 0.0000, 0.7500], [0.5000, 0.5000, 0.5000], [0.0906, 0.2500, 0.1250], [0.2500, 0.5906, 0.3750], [0.2500, 0.9094, 0.8750], [0.4094, 0.2500, 0.6250], [0.5906, 0.7500, 0.6250], [0.7500, 0.0906, 0.8750], [0.7500, 0.4094, 0.3750], [0.9094, 0.7500, 0.1250], [0.0000, 0.0000, 0.5000], [0.0000, 0.5000, 0.7500], [0.5000, 0.0000, 0.2500], [0.5000, 0.5000, 0.0000]]
}

[5]
{
  "formula": "TaBrN2",
  "functional": "PBE",
  "state": "relaxed",
  "de_polymorph_mev_per_atom": 205.1,
  "n_ef_per_ev_fu": 3.16,
  "e_form_raw_mev_per_atom": 59,
  "e_tot_ev_per_atom": -7.4852,
  "lattice": [[6.2970, 0.0000, 0.0000], [0.0000, 6.2970, 0.0000], [0.0000, 0.0000, 8.9274]],
  "species": ["Ta", "Ta", "Ta", "Ta", "Br", "Br", "Br", "Br", "N", "N", "N", "N", "N", "N", "N", "N"],
  "frac_coords": [[0.0000, 0.0000, 0.0000], [0.0000, 0.5000, 0.2500], [0.5000, 0.0000, 0.7500], [0.5000, 0.5000, 0.5000], [0.0000, 0.0000, 0.5000], [0.0000, 0.5000, 0.7500], [0.5000, 0.0000, 0.2500], [0.5000, 0.5000, 0.0000], [0.0012, 0.7500, 0.1250], [0.2500, 0.0012, 0.8750], [0.2500, 0.4988, 0.3750], [0.4988, 0.7500, 0.6250], [0.5012, 0.2500, 0.6250], [0.7500, 0.5012, 0.3750], [0.7500, 0.9988, 0.8750], [0.9988, 0.2500, 0.1250]]
}

[6]
{
  "formula": "TaBr3N",
  "functional": "PBE",
  "state": "relaxed",
  "de_polymorph_mev_per_atom": 815.7,
  "n_ef_per_ev_fu": 4.10,
  "e_form_raw_mev_per_atom": 1534,
  "e_tot_ev_per_atom": -3.5051,
  "lattice": [[4.6479, 0.0000, 0.0000], [0.0000, 4.6479, 0.0000], [0.0000, 0.0000, 4.6479]],
  "species": ["Ta", "Br", "Br", "Br", "N"],
  "frac_coords": [[0.0000, 0.0000, 0.0000], [0.0000, 0.5000, 0.5000], [0.5000, 0.0000, 0.5000], [0.5000, 0.5000, 0.0000], [0.5000, 0.5000, 0.5000]]
}

[7]
{
  "formula": "TbBr3N",
  "functional": "PBE",
  "state": "relaxed",
  "n_ef_per_ev_fu": 0.00,
  "e_form_raw_mev_per_atom": -476,
  "e_tot_ev_per_atom": -4.0706,
  "lattice": [[7.3250, 0.0000, 0.0000], [3.6553, 6.3664, 0.0000], [2.9146, -1.4748, 8.4929]],
  "species": ["Tb", "Tb", "Br", "Br", "Br", "Br", "Br", "Br", "N", "N"],
  "frac_coords": [[0.0000, 0.0000, 0.0000], [0.3369, 0.3354, 0.0008], [0.1388, 0.2510, 0.8103], [0.1987, 0.0839, 0.1903], [0.3962, 0.6239, 0.8096], [0.5709, 0.3395, 0.1928], [0.7661, 0.9959, 0.8079], [0.9408, 0.7114, 0.1910], [0.3533, 0.8259, 0.4682], [0.9633, 0.5108, 0.5368]]
}

[8]
{
  "formula": "Tb7Br12N",
  "functional": "PBE",
  "state": "relaxed",
  "n_ef_per_ev_fu": 11.21,
  "e_form_raw_mev_per_atom": -1667,
  "e_tot_ev_per_atom": -4.7079,
  "lattice": [[7.2523, 4.1871, 3.2262], [-7.2523, 4.1871, 3.2262], [0.0000, -8.3742, 3.2262]],
  "species": ["Tb", "Tb", "Tb", "Tb", "Tb", "Tb", "Tb", "Br", "Br", "Br", "Br", "Br", "Br", "Br", "Br", "Br", "Br", "Br", "Br", "N"],
  "frac_coords": [[0.0000, 0.0000, 0.0000], [0.2019, 0.3991, 0.4684], [0.3991, 0.4684, 0.2019], [0.4684, 0.2019, 0.3991], [0.5316, 0.7981, 0.6009], [0.6009, 0.5316, 0.7981], [0.7981, 0.6009, 0.5316], [0.0321, 0.3483, 0.1136], [0.1136, 0.0321, 0.3483], [0.1882, 0.7262, 0.5779], [0.2738, 0.4221, 0.8118], [0.3483, 0.1136, 0.0321], [0.4221, 0.8118, 0.2738], [0.5779, 0.1882, 0.7262], [0.6517, 0.8864, 0.9679], [0.7262, 0.5779, 0.1882], [0.8118, 0.2738, 0.4221], [0.8864, 0.9679, 0.6517], [0.9679, 0.6517, 0.8864], [0.5000, 0.5000, 0.5000]]
}

[9]
{
  "formula": "Tb3Br2N2",
  "functional": "PBE",
  "state": "relaxed",
  "n_ef_per_ev_fu": 1.40,
  "e_form_raw_mev_per_atom": -1597,
  "e_tot_ev_per_atom": -6.4380,
  "lattice": [[3.5212, 0.0000, 0.0000], [-1.7584, 5.9441, 0.0000], [-0.0013, -1.1117, 7.2764]],
  "species": ["Tb", "Tb", "Tb", "Br", "Br", "N", "N"],
  "frac_coords": [[0.0000, 0.0000, 0.0000], [0.2295, 0.4592, 0.8063], [0.7705, 0.5408, 0.1937], [0.1198, 0.2388, 0.3809], [0.8802, 0.7612, 0.6191], [0.3649, 0.7298, 0.0641], [0.6351, 0.2702, 0.9359]]
}

[10]
{
  "formula": "Tb2Br2N",
  "functional": "PBE",
  "state": "relaxed",
  "n_ef_per_ev_fu": 1.11,
  "e_form_raw_mev_per_atom": -1626,
  "e_tot_ev_per_atom": -5.8126,
  "lattice": [[10.6073, -1.9447, 0.0000], [10.6073, 1.9447, 0.0000], [-0.9386, 0.0000, 7.3664]],
  "species": ["Tb", "Tb", "Tb", "Tb", "Br", "Br", "Br", "Br", "N", "N"],
  "frac_coords": [[0.1762, 0.1762, 0.3575], [0.3156, 0.3156, 0.0605], [0.6844, 0.6844, 0.9395], [0.8238, 0.8238, 0.6425], [0.1082, 0.1082, 0.6917], [0.4177, 0.4177, 0.7915], [0.5823, 0.5823, 0.2085], [0.8918, 0.8918, 0.3083], [0.2128, 0.2128, 0.1034], [0.7872, 0.7872, 0.8966]]
}

[11]
{
  "formula": "Tb2Br2N",
  "functional": "PBE",
  "state": "relaxed",
  "n_ef_per_ev_fu": 1.43,
  "e_form_raw_mev_per_atom": -1724,
  "e_tot_ev_per_atom": -5.9101,
  "lattice": [[3.6872, 0.0000, 0.0000], [-1.8436, 3.1932, 0.0000], [0.0000, 0.0000, 31.7329]],
  "species": ["Tb", "Tb", "Tb", "Tb", "Tb", "Tb", "Br", "Br", "Br", "Br", "Br", "Br", "N", "N", "N"],
  "frac_coords": [[0.0000, 0.0000, 0.1257], [0.0000, 0.0000, 0.8743], [0.3333, 0.6667, 0.5410], [0.3333, 0.6667, 0.7924], [0.6667, 0.3333, 0.2076], [0.6667, 0.3333, 0.4590], [0.0000, 0.0000, 0.2694], [0.0000, 0.0000, 0.7306], [0.3333, 0.6667, 0.3973], [0.3333, 0.6667, 0.9361], [0.6667, 0.3333, 0.0639], [0.6667, 0.3333, 0.6027], [0.0000, 0.0000, 0.5000], [0.3333, 0.6667, 0.1667], [0.6667, 0.3333, 0.8333]]
}

[12]
{
  "formula": "TcBr3N",
  "functional": "PBE",
  "state": "relaxed",
  "de_polymorph_mev_per_atom": 0.0,
  "n_ef_per_ev_fu": 0.77,
  "e_form_raw_mev_per_atom": -121,
  "e_tot_ev_per_atom": -4.8627,
  "lattice": [[4.0675, -7.1094, 0.0000], [4.0675, 7.1094, 0.0000], [-1.6003, 0.0000, 11.9526]],
  "species": ["Tc", "Tc", "Tc", "Tc", "Br", "Br", "Br", "Br", "Br", "Br", "Br", "Br", "Br", "Br", "Br", "Br", "N", "N", "N", "N"],
  "frac_coords": [[0.0061, 0.8762, 0.8590], [0.1238, 0.9939, 0.6410], [0.8762, 0.0061, 0.3590], [0.9939, 0.1238, 0.1410], [0.0111, 0.8028, 0.4405], [0.1914, 0.4337, 0.0704], [0.1972, 0.9889, 0.0595], [0.2053, 0.2553, 0.3209], [0.2553, 0.2053, 0.8209], [0.4337, 0.1914, 0.5704], [0.5663, 0.8086, 0.4296], [0.7447, 0.7947, 0.1791], [0.7947, 0.7447, 0.6791], [0.8028, 0.0111, 0.9405], [0.8086, 0.5663, 0.9296], [0.9889, 0.1972, 0.5595], [0.1758, 0.7740, 0.7932], [0.2260, 0.8242, 0.7068], [0.7740, 0.1758, 0.2932], [0.8242, 0.2260, 0.2068]]
}

[13]
{
  "formula": "Tc2BrN",
  "functional": "PBE",
  "state": "relaxed",
  "de_polymorph_mev_per_atom": 801.1,
  "n_ef_per_ev_fu": 5.46,
  "e_form_raw_mev_per_atom": 1292,
  "e_tot_ev_per_atom": -6.3903,
  "lattice": [[5.9044, 0.0000, 0.0000], [0.0000, 5.9044, 0.0000], [0.0000, 0.0000, 5.9044]],
  "species": ["Tc", "Tc", "Tc", "Tc", "Tc", "Tc", "Tc", "Tc", "Br", "Br", "Br", "Br", "N", "N", "N", "N"],
  "frac_coords": [[0.2500, 0.2500, 0.2500], [0.2500, 0.2500, 0.7500], [0.2500, 0.7500, 0.2500], [0.2500, 0.7500, 0.7500], [0.7500, 0.2500, 0.2500], [0.7500, 0.2500, 0.7500], [0.7500, 0.7500, 0.2500], [0.7500, 0.7500, 0.7500], [0.0000, 0.0000, 0.0000], [0.0000, 0.5000, 0.5000], [0.5000, 0.0000, 0.5000], [0.5000, 0.5000, 0.0000], [0.0000, 0.0000, 0.5000], [0.0000, 0.5000, 0.0000], [0.5000, 0.0000, 0.0000], [0.5000, 0.5000, 0.5000]]
}

[14]
{
  "formula": "Tc2BrN",
  "functional": "PBE",
  "state": "relaxed",
  "de_polymorph_mev_per_atom": 0.0,
  "n_ef_per_ev_fu": 2.65,
  "e_form_raw_mev_per_atom": 491,
  "e_tot_ev_per_atom": -7.1914,
  "lattice": [[4.9317, 0.0000, 0.0000], [0.0000, 4.9317, 0.0000], [0.0000, 0.0000, 10.8977]],
  "species": ["Tc", "Tc", "Tc", "Tc", "Tc", "Tc", "Tc", "Tc", "Br", "Br", "Br", "Br", "N", "N", "N", "N"],
  "frac_coords": [[0.1410, 0.2500, 0.1250], [0.2500, 0.6410, 0.3750], [0.2500, 0.8590, 0.8750], [0.3590, 0.2500, 0.6250], [0.6410, 0.7500, 0.6250], [0.7500, 0.1410, 0.8750], [0.7500, 0.3590, 0.3750], [0.8590, 0.7500, 0.1250], [0.0000, 0.0000, 0.5000], [0.0000, 0.5000, 0.7500], [0.5000, 0.0000, 0.2500], [0.5000, 0.5000, 0.0000], [0.0000, 0.0000, 0.0000], [0.0000, 0.5000, 0.2500], [0.5000, 0.0000, 0.7500], [0.5000, 0.5000, 0.5000]]
}

[15]
{
  "formula": "TcBrN2",
  "functional": "PBE",
  "state": "relaxed",
  "de_polymorph_mev_per_atom": 1610.9,
  "n_ef_per_ev_fu": 3.08,
  "e_form_raw_mev_per_atom": 2018,
  "e_tot_ev_per_atom": -5.1547,
  "lattice": [[5.5785, 0.0000, 0.0000], [0.0000, 5.5785, 0.0000], [0.0000, 0.0000, 5.5785]],
  "species": ["Tc", "Tc", "Tc", "Tc", "Br", "Br", "Br", "Br", "N", "N", "N", "N", "N", "N", "N", "N"],
  "frac_coords": [[0.0000, 0.0000, 0.0000], [0.0000, 0.5000, 0.5000], [0.5000, 0.0000, 0.5000], [0.5000, 0.5000, 0.0000], [0.0000, 0.0000, 0.5000], [0.0000, 0.5000, 0.0000], [0.5000, 0.0000, 0.0000], [0.5000, 0.5000, 0.5000], [0.2500, 0.2500, 0.2500], [0.2500, 0.2500, 0.7500], [0.2500, 0.7500, 0.2500], [0.2500, 0.7500, 0.7500], [0.7500, 0.2500, 0.2500], [0.7500, 0.2500, 0.7500], [0.7500, 0.7500, 0.2500], [0.7500, 0.7500, 0.7500]]
}

[16]
{
  "formula": "TcBrN3",
  "functional": "PBE",
  "state": "relaxed",
  "n_ef_per_ev_fu": 2.93,
  "e_form_raw_mev_per_atom": 2819,
  "e_tot_ev_per_atom": -4.5840,
  "lattice": [[3.8726, 0.0000, 0.0000], [0.0000, 3.8726, 0.0000], [0.0000, 0.0000, 3.8726]],
  "species": ["Tc", "Br", "N", "N", "N"],
  "frac_coords": [[0.0000, 0.0000, 0.0000], [0.5000, 0.5000, 0.5000], [0.0000, 0.5000, 0.5000], [0.5000, 0.0000, 0.5000], [0.5000, 0.5000, 0.0000]]
}

[17]
{
  "formula": "TcBr3N",
  "functional": "PBE",
  "state": "relaxed",
  "de_polymorph_mev_per_atom": 1535.8,
  "n_ef_per_ev_fu": 3.28,
  "e_form_raw_mev_per_atom": 1415,
  "e_tot_ev_per_atom": -3.3269,
  "lattice": [[4.7351, 0.0000, 0.0000], [0.0000, 4.7351, 0.0000], [0.0000, 0.0000, 4.7351]],
  "species": ["Tc", "Br", "Br", "Br", "N"],
  "frac_coords": [[0.0000, 0.0000, 0.0000], [0.0000, 0.5000, 0.5000], [0.5000, 0.0000, 0.5000], [0.5000, 0.5000, 0.0000], [0.5000, 0.5000, 0.5000]]
}

[18]
{
  "formula": "TcBrN3",
  "functional": "PBE",
  "state": "relaxed",
  "n_ef_per_ev_fu": 3.68,
  "e_form_raw_mev_per_atom": 1344,
  "e_tot_ev_per_atom": -6.0585,
  "lattice": [[3.9502, 0.0000, 0.0000], [0.0000, 3.9502, 0.0000], [0.0000, 0.0000, 3.9502]],
  "species": ["Tc", "Br", "N", "N", "N"],
  "frac_coords": [[0.0000, 0.0000, 0.0000], [0.5000, 0.5000, 0.5000], [0.0000, 0.0000, 0.5000], [0.0000, 0.5000, 0.0000], [0.5000, 0.0000, 0.0000]]
}

[19]
{
  "formula": "TcBrN2",
  "functional": "PBE",
  "state": "relaxed",
  "de_polymorph_mev_per_atom": 0.0,
  "n_ef_per_ev_fu": 0.75,
  "e_form_raw_mev_per_atom": 407,
  "e_tot_ev_per_atom": -6.7656,
  "lattice": [[0.0000, 4.2057, 4.2057], [4.2057, 0.0000, 4.2057], [4.2057, 4.2057, 0.0000]],
  "species": ["Tc", "Tc", "Br", "Br", "N", "N", "N", "N"],
  "frac_coords": [[0.1250, 0.1250, 0.1250], [0.8750, 0.8750, 0.8750], [0.3750, 0.3750, 0.3750], [0.6250, 0.6250, 0.6250], [0.0000, 0.0000, 0.0000], [0.0000, 0.0000, 0.5000], [0.0000, 0.5000, 0.0000], [0.5000, 0.0000, 0.0000]]
}

[20]
{
  "formula": "TcBrN2",
  "functional": "PBE",
  "state": "relaxed",
  "de_polymorph_mev_per_atom": 275.6,
  "n_ef_per_ev_fu": 1.35,
  "e_form_raw_mev_per_atom": 682,
  "e_tot_ev_per_atom": -6.4900,
  "lattice": [[3.0322, 0.0000, 0.0000], [-1.5161, 2.6259, 0.0000], [0.0000, 0.0000, 19.4459]],
  "species": ["Tc", "Tc", "Tc", "Br", "Br", "Br", "N", "N", "N", "N", "N", "N"],
  "frac_coords": [[0.0000, 0.0000, 0.0000], [0.3333, 0.6667, 0.6667], [0.6667, 0.3333, 0.3333], [0.0000, 0.0000, 0.5000], [0.3333, 0.6667, 0.1667], [0.6667, 0.3333, 0.8333], [0.0000, 0.0000, 0.3923], [0.0000, 0.0000, 0.6077], [0.3333, 0.6667, 0.0589], [0.3333, 0.6667, 0.2744], [0.6667, 0.3333, 0.7256], [0.6667, 0.3333, 0.9411]]
}